The following is a PBE-GGA calculation of a relaxed Pr7Sn5Bi crystal, from Alexandria via LeMat-Bulk.

## Properties
SG: Imm2 (44)

```
Pr7Sn5Bi
1.0
-3.893 -4.919 -1.274
2.917 -7.375 3.480
-6.350 -0.655 5.852
Sn Pr Bi
5 7 1
Direct
0.015 0.992 0.482
0.015 0.482 0.992
0.512 0.992 0.482
0.512 0.482 0.992
0.774 0.726 0.726
0.009 0.662 0.320
0.009 0.320 0.662
0.283 0.217 0.217
0.527 0.135 0.811
0.238 0.762 0.762
0.527 0.811 0.135
0.635 0.365 0.365
0.946 0.054 0.054
```

---

The following is a PBE-GGA calculation of a relaxed PrSnBi2 crystal, from Alexandria via LeMat-Bulk.

## Properties
SG: Fm-3m (225)
E above lowest polymorph: 0.197 eV/atom

```
PrSnBi2
1.0
5.637 0.000 0.000
2.819 4.882 0.000
2.819 1.627 4.603
Bi Pr Sn
2 1 1
Direct
0.250 0.250 0.250
0.750 0.750 0.750
0.000 0.000 0.000
0.500 0.500 0.500
```

---

| no. | M_tot (μB/atom) | formation energy from the elements (meV per atom) |
| --- | --- | --- |
| 1 | 0.000 | -547.2 |
| 2 | 0.000 | -271.7 |